# NbCoNF2 PBE with a Hubbard U optimized geometry
# Raw total energy (eV per atom): -5.7424
data_NbCoNF2
_space_group_name_H-M_alt 'P 4/m m m'
_space_group_IT_number 123
_space_group_name_Hall '-P 4 2'
_cell_length_a 3.5973
_cell_length_b 3.5973
_cell_length_c 4.5520
_cell_angle_alpha 90.00
_cell_angle_beta 90.00
_cell_angle_gamma 90.00
loop_
_atom_site_label
_atom_site_type_symbol
_atom_site_fract_x
_atom_site_fract_y
_atom_site_fract_z
_atom_site_occupancy
Nb1 Nb 0.0000 0.0000 0.0000 1
Co1 Co 0.5000 0.5000 0.5000 1
N1 N 0.5000 0.5000 0.0000 1
F1 F 0.0000 0.5000 0.5000 1